Entry from the Alexandria database: an optimized crystal structure of Ba2Ho2FeCo3O12 (PBE with a Hubbard U).

Properties
Crystal system   tetragonal
Theoretical density   7.38 Mg/m³
E_tot   -0.4821 Ry per atom

Lattice parameters (Å, degrees): 3.891 3.891 15.289 90.00 90.00 90.00
Space group P4mm (No. 99)
Asymmetric unit:
Ba 0.000 0.000 0.000 (multiplicity 1)
Ba 0.000 0.000 0.499 (multiplicity 1)
Ho 0.000 0.000 0.247 (multiplicity 1)
Ho 0.000 0.000 0.761 (multiplicity 1)
Fe 0.500 0.500 0.631 (multiplicity 1)
Co 0.500 0.500 0.127 (multiplicity 1)
Co 0.500 0.500 0.371 (multiplicity 1)
Co 0.500 0.500 0.877 (multiplicity 1)
O 0.000 0.500 0.141 (multiplicity 2)
O 0.000 0.500 0.354 (multiplicity 2)
O 0.000 0.500 0.640 (multiplicity 2)
O 0.000 0.500 0.860 (multiplicity 2)
O 0.500 0.500 0.006 (multiplicity 1)
O 0.500 0.500 0.246 (multiplicity 1)
O 0.500 0.500 0.501 (multiplicity 1)
O 0.500 0.500 0.756 (multiplicity 1)